4
Lattice="-7.238 5.881 0.650 -7.092 5.168 -3.222 -3.105 -2.502 0.344" Properties=species:S:1:pos:R:3 comment="Sr2PbSe | Alexandria | PBE | optimized geometry" formation_energy_uncorrected_ev_per_atom=-1.109 total_energy_ev_per_atom=-3.75 pbc="T T T"
Se -12.560 5.794 -1.539
Sr -4.717 2.573 -0.651
Pb -8.100 3.524 -0.953
Sr -3.879 -1.573 0.144